(1)
First-principles (PBEsol) data for crystalline MgIn2Pb at its relaxed geometry, as listed in Alexandria via LeMat-Bulk.

```
data_MgIn2Pb
_chemical_formula_sum 'Mg2 In4 Pb2'
_symmetry_space_group_name_H-M 'C 1 m 1'
_symmetry_Int_Tables_number 8
_symmetry_space_group_name_Hall 'C -2y'
_cell_length_a 10.8153
_cell_length_b 3.3461
_cell_length_c 5.7557
_cell_angle_alpha 90.00
_cell_angle_beta 101.61
_cell_angle_gamma 90.00
loop_
_atom_site_label
_atom_site_type_symbol
_atom_site_fract_x
_atom_site_fract_y
_atom_site_fract_z
Mg1 Mg 0.0000 0.0000 0.0000
In1 In 0.2413 0.5000 0.2534
In2 In 0.4929 0.0000 0.4868
Pb1 Pb 0.2513 0.0000 0.7616
```

Properties
V ... 25.50 Å³ per atom
DOS at the Fermi energy ... 0.407 states/eV per atom
Theoretical density ... 7.51 g cm⁻³
DFT total energy ... -2.9543 eV per atom
Formation energy ... -0.03 eV per atom

---

(2)
First-principles (PBEsol) data for crystalline Mg2InPb at its relaxed geometry, as listed in Alexandria via LeMat-Bulk.

```
data_Mg2InPb
_chemical_formula_sum 'Mg4 In2 Pb2'
_symmetry_space_group_name_H-M 'I -4 m 2'
_symmetry_Int_Tables_number 119
_symmetry_space_group_name_Hall 'I -4 -2'
_cell_length_a 4.4520
_cell_length_b 4.4520
_cell_length_c 9.7644
_cell_angle_alpha 90.00
_cell_angle_beta 90.00
_cell_angle_gamma 90.00
loop_
_atom_site_label
_atom_site_type_symbol
_atom_site_fract_x
_atom_site_fract_y
_atom_site_fract_z
Mg1 Mg 0.0000 0.0000 0.0000
Mg2 Mg 0.0000 0.5000 0.2500
In1 In 0.0000 0.5000 0.7500
Pb1 Pb 0.0000 0.0000 0.5000
```

Properties
V ... 24.19 Å³ per atom
DOS at the Fermi energy ... 0.421 states/eV per atom
Theoretical density ... 6.36 g cm⁻³
DFT total energy ... -2.6832 eV per atom
Formation energy ... -0.08 eV per atom

---

(3)
First-principles (PBEsol) data for crystalline MgIn2Pb at its relaxed geometry, as listed in Alexandria via LeMat-Bulk.

```
data_MgIn2Pb
_chemical_formula_sum 'Mg2 In4 Pb2'
_symmetry_space_group_name_H-M 'I m m 2'
_symmetry_Int_Tables_number 44
_symmetry_space_group_name_Hall 'I 2 -2'
_cell_length_a 3.6361
_cell_length_b 5.3642
_cell_length_c 10.5395
_cell_angle_alpha 90.00
_cell_angle_beta 90.00
_cell_angle_gamma 90.00
loop_
_atom_site_label
_atom_site_type_symbol
_atom_site_fract_x
_atom_site_fract_y
_atom_site_fract_z
Mg1 Mg 0.0000 0.0000 0.0000
In1 In 0.0000 0.0000 0.5123
In2 In 0.0000 0.5000 0.2621
Pb1 Pb 0.0000 0.5000 0.7495
```

Properties
V ... 25.70 Å³ per atom
DOS at the Fermi energy ... 0.493 states/eV per atom
Theoretical density ... 7.45 g cm⁻³
DFT total energy ... -2.9275 eV per atom
Formation energy ... -0.01 eV per atom